No. 1
This record from Alexandria describes KPb2Cl after structural relaxation. The functional is GGA-PBEsol.

Lattice parameters (Å, degrees): 3.3907 6.1046 6.6538 117.31 90.00 90.00
Atoms (fractional coordinates):
Pb (0.0000, 0.0000, 0.5000)
Pb (0.0000, 0.5000, 0.5000)
K (0.5000, 0.5000, 0.0000)
Cl (0.5000, 0.0000, 0.0000)

The total magnetic moment is 0.0 μB per formula unit. Its density of states at the Fermi level is 0.665 states/eV per atom. As for the calculated density: 6.63 g/cm3. As for the raw formation energy: -0.293 eV per atom. The value obtained for the relative energy among the computed polymorphs is 0.260 eV per atom.

***

No. 2
This record from Alexandria describes CoOsBrCl2 after structural relaxation. The functional is GGA-PBEsol.

Lattice parameters (Å, degrees): 4.2884 4.2884 5.0924 90.00 90.00 90.00
Each line ends with the local moment (μB).
Atoms (fractional coordinates):
Co (0.0000, 0.0000, 0.0000)  1.21
Os (0.0000, 0.0000, 0.5000)  2.42
Br (0.5000, 0.5000, 0.5000)  0.09
Cl (0.0000, 0.5000, 0.0000)  0.10
Cl (0.5000, 0.0000, 0.0000)  0.10

The total magnetic moment is 4.3 μB per formula unit. Its density of states at the Fermi level is 1.367 states/eV per atom. As for the calculated density: 7.09 g/cm3. As for the raw formation energy: 0.880 eV per atom.

***

No. 3
This record from Alexandria describes Pr2Au after structural relaxation. The functional is GGA-PBEsol.

Lattice parameters (Å, degrees): 5.0356 7.2417 9.2639 90.00 90.00 90.00
Atoms (fractional coordinates):
Pr (0.2500, 0.1545, 0.5861)
Pr (0.7500, 0.4945, 0.6772)
Pr (0.7500, 0.9945, 0.8228)
Pr (0.2500, 0.6545, 0.9139)
Pr (0.7500, 0.3455, 0.0861)
Pr (0.2500, 0.0055, 0.1772)
Pr (0.2500, 0.5055, 0.3228)
Pr (0.7500, 0.8455, 0.4139)
Au (0.2500, 0.7421, 0.5952)
Au (0.2500, 0.2421, 0.9048)
Au (0.7500, 0.7579, 0.0952)
Au (0.7500, 0.2579, 0.4048)

The total magnetic moment is 0.0 μB per formula unit. The value obtained for the formation energy from the elements is -0.53 eV/atom. Its density of states at the Fermi level is 0.910 states/eV per atom. As for the calculated density: 9.41 g/cm3.

***

No. 4
This record from Alexandria describes K3BiTe3 after structural relaxation. The functional is GGA-PBEsol.

Lattice parameters (Å, degrees): 10.2238 10.2238 10.2238 90.00 90.00 90.00
Atoms (fractional coordinates):
K (0.5727, 0.5727, 0.5727)
K (0.9273, 0.4273, 0.0727)
K (0.0727, 0.9273, 0.4273)
K (0.4273, 0.0727, 0.9273)
K (0.3284, 0.3284, 0.3284)
K (0.1716, 0.6716, 0.8284)
K (0.8284, 0.1716, 0.6716)
K (0.6716, 0.8284, 0.1716)
K (0.8198, 0.8198, 0.8198)
K (0.6802, 0.1802, 0.3198)
K (0.3198, 0.6802, 0.1802)
K (0.1802, 0.3198, 0.6802)
Bi (0.9592, 0.5408, 0.4592)
Bi (0.4592, 0.9592, 0.5408)
Bi (0.0408, 0.0408, 0.0408)
Bi (0.5408, 0.4592, 0.9592)
Te (0.7719, 0.1223, 0.9994)
Te (0.7281, 0.8777, 0.4994)
Te (0.2719, 0.3777, 0.0006)
Te (0.1223, 0.9994, 0.7719)
Te (0.2281, 0.6223, 0.5006)
Te (0.5006, 0.2281, 0.6223)
Te (0.6223, 0.5006, 0.2281)
Te (0.8777, 0.4994, 0.7281)
Te (0.0006, 0.2719, 0.3777)
Te (0.3777, 0.0006, 0.2719)
Te (0.9994, 0.7719, 0.1223)
Te (0.4994, 0.7281, 0.8777)

The total magnetic moment is 0.0 μB per formula unit. As for the calculated density: 4.41 g/cm3. As for the raw formation energy: -0.752 eV per atom.

***

No. 5
This record from Alexandria describes PtRh2 after structural relaxation. The functional is GGA-PBEsol.

Lattice parameters (Å, degrees): 2.6541 4.3178 4.3178 120.00 90.00 90.00
Atoms (fractional coordinates):
Pt (0.5000, 0.0000, 0.0000)
Rh (0.0000, 0.3333, 0.6667)
Rh (0.0000, 0.6667, 0.3333)

The total magnetic moment is 0.0 μB per formula unit. The value obtained for the formation energy from the elements is 0.20 eV/atom. Its density of states at the Fermi level is 1.897 states/eV per atom. As for the calculated density: 15.53 g/cm3. The value obtained for the relative energy among the computed polymorphs is 0.222 eV per atom.

***

No. 6
This record from Alexandria describes Ti5CN4 after structural relaxation. The functional is GGA-PBEsol.

Lattice parameters (Å, degrees): 2.9880 2.9880 12.3337 83.04 83.04 60.00
Atoms (fractional coordinates):
Ti (0.6006, 0.6006, 0.1983)
Ti (0.0000, 0.0000, 0.0000)
Ti (0.3994, 0.3994, 0.8017)
Ti (0.2000, 0.2000, 0.4000)
Ti (0.8000, 0.8000, 0.6000)
C (0.5000, 0.5000, 0.5000)
N (0.0990, 0.0990, 0.7030)
N (0.6998, 0.6998, 0.9005)
N (0.3002, 0.3002, 0.0995)
N (0.9010, 0.9010, 0.2970)

The total magnetic moment is 0.0 μB per formula unit. Its density of states at the Fermi level is 0.395 states/eV per atom. As for the calculated density: 5.41 g/cm3. As for the raw formation energy: -1.737 eV per atom.

***

Question: calculated density of number 5 (PtRh2)?
Answer: 15.53 g/cm3

***

Repeat the first record exactly.
This record from Alexandria describes KPb2Cl after structural relaxation. The functional is GGA-PBEsol.

Lattice parameters (Å, degrees): 3.3907 6.1046 6.6538 117.31 90.00 90.00
Atoms (fractional coordinates):
Pb (0.0000, 0.0000, 0.5000)
Pb (0.0000, 0.5000, 0.5000)
K (0.5000, 0.5000, 0.0000)
Cl (0.5000, 0.0000, 0.0000)

The total magnetic moment is 0.0 μB per formula unit. Its density of states at the Fermi level is 0.665 states/eV per atom. As for the calculated density: 6.63 g/cm3. As for the raw formation energy: -0.293 eV per atom. The value obtained for the relative energy among the computed polymorphs is 0.260 eV per atom.

***

Question: Among the records above, which one has the highest calculated density?
Answer: PtRh2

***

Question: What is the total magnetic moment in the fourth record?
Answer: 0.0 μB per formula unit